Material: PaInClO4
Method: DFT, PBE-GGA
State: optimized geometry

Output
Size of the total moment (μB/cell): 4.0
Fermi-level density of states (states/eV/f.u.): 0.98
Crystal system: monoclinic
Calculated volume (Å³/cell): 467.3
Calculated total energy (eV/atom): -6.938
Raw formation energy (eV per atom): -2.09

Unit cell a=10.498 b=6.863 c=6.547 alpha=90.00 beta=97.82 gamma=90.00
Space group C2/m (No. 12)
Symmetry-distinct sites (fractional):
Pa (0.224, 0.000, 0.104) (multiplicity 4)
In (0.114, 0.500, 0.345) (multiplicity 4)
Cl (0.037, 0.000, 0.759) (multiplicity 4)
O (0.088, 0.500, 0.686) (multiplicity 4)
O (0.173, 0.306, 0.122) (multiplicity 8)
O (0.218, 0.000, 0.440) (multiplicity 4)